No. 1
Density functional theory data (PBE) for crystalline Y3Pa5P8 at its relaxed geometry.

Calculated values
energy of formation: -2199 kJ/mol of formula units
symmetry: R-3m, No. 166
uncorrected energy: -132.94 eV per formula unit
density of states at the Fermi level: 0.903 states/eV per atom

a b c (Å): 7.952 7.952 7.960
angles (deg): 60.03 60.03 60.00
Atoms (fractional coordinates):
Y1 0.500 0.000 0.500
Y2 0.000 0.000 0.500
Y3 0.000 0.500 0.500
Pa1 0.500 0.000 0.000
Pa2 0.500 0.500 0.000
Pa3 0.000 0.000 0.000
Pa4 0.000 0.500 0.000
Pa5 0.500 0.500 0.500
P1 0.250 0.250 0.751
P2 0.250 0.749 0.751
P3 0.749 0.250 0.751
P4 0.748 0.748 0.755
P5 0.750 0.750 0.249
P6 0.750 0.251 0.249
P7 0.251 0.750 0.249
P8 0.252 0.252 0.245

***

No. 2
Density functional theory data (PBE) for crystalline ThScZnCd at its relaxed geometry.

Calculated values
energy of formation: -61 kJ/mol of formula units
symmetry: F-43m, No. 216
uncorrected energy: -16.58 eV per formula unit
density of states at the Fermi level: 1.193 states/eV per atom
polymorph energy (0 for the lowest one): 0.079 eV/atom

a b c (Å): 5.144 5.144 5.144
angles (deg): 60.00 60.00 60.00
Atoms (fractional coordinates):
Sc1 0.000 0.000 0.000
Zn1 0.250 0.250 0.250
Th1 0.500 0.500 0.500
Cd1 0.750 0.750 0.750

***

No. 3
Density functional theory data (PBE) for crystalline KTeI2Cl at its relaxed geometry.

Calculated values
symmetry: P4/mmm, No. 123
uncorrected energy: -7.82 eV per formula unit
density of states at the Fermi level: 2.252 states/eV per atom
polymorph energy (0 for the lowest one): 0.942 eV/atom

a b c (Å): 6.544 6.544 7.121
angles (deg): 90.00 90.00 90.00
Last column: magnetic moment on the atom in μB.
Atoms (fractional coordinates):
I1 0.000 0.500 0.000  0.39
I2 0.500 0.000 0.000  0.39
K1 0.000 0.000 0.000  0.00
Te1 0.000 0.000 0.500  1.11
Cl1 0.500 0.500 0.500  0.46

***

No. 4
Density functional theory data (PBE) for crystalline TbNdDyIn at its relaxed geometry.

Calculated values
energy of formation: -51 kJ/mol of formula units
symmetry: F-43m, No. 216
uncorrected energy: -17.27 eV per formula unit
density of states at the Fermi level: 1.405 states/eV per atom
polymorph energy (0 for the lowest one): 0.000 eV/atom

a b c (Å): 5.513 5.513 5.513
angles (deg): 60.00 60.00 60.00
Last column: magnetic moment on the atom in μB.
Atoms (fractional coordinates):
Nd1 0.500 0.500 0.500  0.19
In1 0.750 0.750 0.750  0.00
Tb1 0.250 0.250 0.250  0.34
Dy1 0.000 0.000 0.000  0.27